This record from Alexandria via LeMat-Bulk describes a geometry-optimized CaMg5Br12 structure. The functional is PBE-GGA.

## Properties
Its total magnetic moment is 0.00 μB per atom. The total energy comes out at -0.1190 Ha/atom. Its raw formation energy is -1570 meV per atom.

Structure (CIF):
```
data_CaMg5Br12
_cell_length_a 6.829
_cell_length_b 11.835
_cell_length_c 14.260
_cell_angle_alpha 90.00
_cell_angle_beta 90.09
_cell_angle_gamma 90.00
_symmetry_space_group_name_H-M 'C 1 2/m 1'
_symmetry_Int_Tables_number 12
loop_
_symmetry_equiv_pos_as_xyz
'x,y,z'
'-x,-y,-z'
'-x,y,-z'
'x,-y,z'
'x+1/2,y+1/2,z'
'-x+1/2,-y+1/2,-z'
'-x+1/2,y+1/2,-z'
'x+1/2,-y+1/2,z'
loop_
_atom_site_label
_atom_site_fract_x
_atom_site_fract_y
_atom_site_fract_z
Ca1 0.000 0.000 0.000
Mg1 0.000 0.166 0.500
Mg2 0.000 0.333 0.000
Mg3 0.000 0.500 0.500
Br1 0.145 0.500 0.109
Br2 0.166 0.000 0.396
Br3 0.166 0.333 0.396
Br4 0.178 0.177 0.109
```